LiLaNiPb: relaxed, PBE-GGA.

abc: 7.063 7.063 7.063
angles: 90.00 90.00 90.00
Space group F-43m (No. 216)
One atom of each set of equivalent atoms:
Li 0.000 0.000 0.000 x4
La 0.250 0.250 0.750 x4
Ni 0.250 0.250 0.250 x4
Pb 0.000 0.000 0.500 x4

Calculated values
E, eV/atom: -4.1249
Theoretical density, Mg/m³: 7.76
E above lowest polymorph, meV per atom: 300

=====

Li2La2NiSn2Pd: relaxed, PBE-GGA.

abc: 4.853 4.853 6.871
angles: 90.00 90.00 90.00
Space group P-4m2 (No. 115)
One atom of each set of equivalent atoms:
Li 0.000 0.000 0.000 x1
Li 0.500 0.500 0.500 x1
La 0.000 0.500 0.243 x2
Ni 0.500 0.500 0.000 x1
Sn 0.000 0.500 0.755 x2
Pd 0.000 0.000 0.500 x1

Calculated values
E, eV/atom: -4.7027
Theoretical density, Mg/m³: 7.12

=====

LiLaSi2Ni: relaxed, PBE-GGA.

abc: 4.166 4.166 9.767
angles: 90.00 90.00 90.00
Space group I-4m2 (No. 119)
One atom of each set of equivalent atoms:
Li 0.000 0.000 0.000 x2
La 0.000 0.500 0.250 x2
Si 0.000 0.500 0.627 x4
Ni 0.000 0.000 0.500 x2

Calculated values
E, eV/atom: -5.2695
Theoretical density, Mg/m³: 5.11

=====

LiLaSiNi: relaxed, PBE-GGA.

abc: 6.773 6.773 6.773
angles: 90.00 90.00 90.00
Space group F-43m (No. 216)
One atom of each set of equivalent atoms:
Li 0.000 0.000 0.000 x4
La 0.000 0.000 0.500 x4
Si 0.250 0.250 0.750 x4
Ni 0.250 0.250 0.250 x4

Calculated values
E, eV/atom: -4.6054
Theoretical density, Mg/m³: 4.97
E above lowest polymorph, meV per atom: 265